## Na3PmHo2Te6 (PBE)

Data for Na3PmHo2Te6 after structural relaxation. Values from VASP.

Results
Its total DFT energy (no corrections) is -52.50 eV for the cell shown. Its uncorrected formation energy is -1.316 eV per atom. Its symmetry is C2/m (12).

Structure (Quantum ESPRESSO input):
```
&SYSTEM
  ibrav = 0, nat = 12, ntyp = 4
/
ATOMIC_SPECIES
Te 127.60 Te.upf
Na 22.99 Na.upf
Ho 164.93 Ho.upf
Pm 145.00 Pm.upf
ATOMIC_POSITIONS crystal
Te 0.263 0.263 0.767
Te 0.582 0.922 0.767
Te 0.418 0.078 0.233
Te 0.078 0.418 0.233
Te 0.922 0.582 0.767
Te 0.737 0.737 0.233
Na 0.500 0.500 0.500
Na 0.164 0.836 0.500
Na 0.836 0.164 0.500
Ho 0.667 0.333 0.000
Ho 0.333 0.667 0.000
Pm 0.000 0.000 0.000
CELL_PARAMETERS angstrom
7.706 -0.001 0.000
-3.852 6.674 0.000
-1.286 -2.226 7.568
```


## NaPm2HoTe4 (PBE)

Data for NaPm2HoTe4 after structural relaxation. Values from VASP.

Results
Its total DFT energy (no corrections) is -38.70 eV for the cell shown. The calculation puts the density of states at the Fermi level at 3.3 states/eV/cell. Its uncorrected formation energy is -1.342 eV per atom. Its symmetry is P2/m (10).

Structure (Quantum ESPRESSO input):
```
&SYSTEM
  ibrav = 0, nat = 8, ntyp = 4
/
ATOMIC_SPECIES
Te 127.60 Te.upf
Ho 164.93 Ho.upf
Na 22.99 Na.upf
Pm 145.00 Pm.upf
ATOMIC_POSITIONS crystal
Te 0.000 0.255 0.760
Te 0.500 0.252 0.244
Te 0.500 0.748 0.756
Te 0.000 0.745 0.240
Ho 0.500 0.500 0.000
Na 0.000 0.000 0.000
Pm 0.000 0.500 0.500
Pm 0.500 0.000 0.500
CELL_PARAMETERS angstrom
4.407 0.000 0.000
0.000 7.697 0.180
0.000 -2.674 7.244
```


## NaPm3Ho2Te6 (PBE)

Data for NaPm3Ho2Te6 after structural relaxation. Values from VASP.

Results
Its total DFT energy (no corrections) is -59.67 eV for the cell shown. The calculation puts the density of states at the Fermi level at 4.4 states/eV/cell. Its uncorrected formation energy is -1.341 eV per atom. Its symmetry is C2/m (12).

Structure (Quantum ESPRESSO input):
```
&SYSTEM
  ibrav = 0, nat = 12, ntyp = 4
/
ATOMIC_SPECIES
Te 127.60 Te.upf
Ho 164.93 Ho.upf
Pm 145.00 Pm.upf
Na 22.99 Na.upf
ATOMIC_POSITIONS crystal
Te 0.669 0.577 0.338
Te 0.669 0.090 0.338
Te 0.005 0.247 0.010
Te 0.331 0.910 0.662
Te 0.331 0.423 0.662
Te 0.995 0.753 0.990
Ho 0.166 0.339 0.332
Ho 0.834 0.661 0.668
Pm 0.839 0.178 0.679
Pm 0.500 0.500 0.000
Pm 0.161 0.822 0.321
Na 0.500 0.000 0.000
CELL_PARAMETERS angstrom
4.403 0.000 0.000
0.000 8.899 0.291
-2.202 -2.593 9.323
```